# 1
Material: RbPaPb2
Method: DFT, GGA-PBE
State: relaxed

extended XYZ file:
```
4
Lattice="3.491 0.000 0.000 0.000 3.491 0.000 0.000 0.000 10.523" Properties=species:S:1:pos:R:3 pbc="T T T"
Rb 0.000 0.000 0.000
Pa 0.000 0.000 5.261
Pb 1.746 1.746 2.921
Pb 1.746 1.746 7.602
```

Output
Energy relative to the elements = 0.08 eV per formula unit
Distance to the lowest polymorph of the same formula = 0.000 eV per atom

# 2
Material: FeCoRe2B
Method: DFT, GGA-PBE
State: relaxed

extended XYZ file:
```
5
Lattice="4.071 0.000 0.000 0.000 4.071 0.000 0.000 0.000 3.753" Properties=species:S:1:pos:R:3 pbc="T T T"
Fe 0.000 0.000 0.000
Co 2.035 2.035 0.000
Re 0.000 2.035 1.877
Re 2.035 0.000 1.877
B 0.000 0.000 1.877
```

Output
Energy relative to the elements = 1.82 eV per formula unit

# 3
Material: Pm4MgOs
Method: DFT, GGA-PBE
State: relaxed

extended XYZ file:
```
24
Lattice="0.000 7.033 7.033 7.033 0.000 7.033 7.033 7.033 0.000" Properties=species:S:1:pos:R:3 pbc="T T T"
Pm 9.229 4.838 4.838
Pm 3.517 3.517 0.841
Pm 3.517 0.841 3.517
Pm 6.192 3.517 3.517
Pm 7.033 7.033 2.660
Pm 7.033 2.660 7.033
Pm 11.406 7.033 7.033
Pm 0.841 3.517 3.517
Pm 3.517 6.192 3.517
Pm 3.517 3.517 6.192
Pm 4.838 9.229 4.838
Pm 4.838 4.838 9.229
Pm 9.229 9.229 9.229
Pm 2.660 7.033 7.033
Pm 7.033 11.406 7.033
Pm 7.033 7.033 11.406
Mg 5.930 5.930 5.930
Mg 8.137 8.137 5.930
Mg 8.137 5.930 8.137
Mg 5.930 8.137 8.137
Os 12.124 8.976 8.976
Os 8.976 12.124 8.976
Os 8.976 8.976 12.124
Os 12.124 12.124 12.124
```

Output
Energy relative to the elements = -0.81 eV per formula unit
Distance to the lowest polymorph of the same formula = 0.000 eV per atom

# 4
Material: HfHgBr2
Method: DFT, GGA-PBE
State: relaxed

extended XYZ file:
```
4
Lattice="1.716 0.991 11.674 -1.716 0.991 11.674 0.000 -1.981 11.674" Properties=species:S:1:pos:R:3 pbc="T T T"
Hf 0.000 0.000 0.000
Hg 0.000 0.000 17.511
Br 0.000 0.000 13.596
Br 0.000 0.000 21.426
```

Output
Energy relative to the elements, uncorrected = -733 meV/atom
Distance to the lowest polymorph of the same formula = 0.000 eV per atom

# 5
Material: BaPmP2
Method: DFT, GGA-PBE
State: relaxed

extended XYZ file:
```
4
Lattice="5.572 0.000 0.000 0.000 5.572 0.000 0.000 0.000 3.277" Properties=species:S:1:pos:R:3 pbc="T T T"
Ba 0.000 0.000 0.000
Pm 2.786 2.786 0.000
P 0.000 2.786 1.638
P 2.786 0.000 1.638
```

Output
Energy relative to the elements = -3.03 eV per formula unit
Distance to the lowest polymorph of the same formula = 0.316 eV per atom

# 6
Material: AcTaRuO6
Method: DFT, GGA-PBE
State: relaxed

extended XYZ file:
```
18
Lattice="5.033 0.000 0.000 0.000 5.033 0.000 0.000 0.000 9.905" Properties=species:S:1:pos:R:3 pbc="T T T"
Ac 0.000 0.000 0.000
Ac 2.517 2.517 4.952
Ta 0.000 0.000 6.518
Ta 2.517 2.517 1.565
Ru 0.000 0.000 3.204
Ru 2.517 2.517 8.156
O 0.829 0.829 4.857
O 1.122 1.122 7.840
O 1.139 1.139 1.836
O 1.377 3.656 6.788
O 1.394 3.639 2.887
O 1.687 3.346 9.809
O 3.346 1.687 9.809
O 3.639 1.394 2.887
O 3.656 1.377 6.788
O 3.894 3.894 1.836
O 3.911 3.911 7.840
O 4.204 4.204 4.857
```

Output
Energy relative to the elements, uncorrected = -2241 meV/atom

# 7
Material: TbRh6
Method: DFT, GGA-PBE
State: relaxed

extended XYZ file:
```
28
Lattice="8.490 0.000 0.000 0.000 5.199 0.000 0.000 0.000 10.435" Properties=species:S:1:pos:R:3 pbc="T T T"
Tb 2.060 1.300 0.633
Tb 2.185 3.899 5.850
Tb 6.305 1.300 4.585
Tb 6.430 3.899 9.802
Rh 0.504 3.899 0.854
Rh 0.519 0.029 3.201
Rh 0.519 2.570 3.201
Rh 0.957 1.300 5.426
Rh 1.283 3.899 8.804
Rh 1.568 1.300 8.004
Rh 2.677 3.899 2.787
Rh 2.962 1.300 3.586
Rh 3.288 3.899 0.208
Rh 3.726 2.629 8.418
Rh 3.726 5.170 8.418
Rh 3.741 1.300 6.071
Rh 4.749 3.899 4.363
Rh 4.764 0.029 2.017
Rh 4.764 2.570 2.017
Rh 5.202 1.300 10.227
Rh 5.528 3.899 6.848
Rh 5.813 1.300 7.648
Rh 6.922 3.899 2.430
Rh 7.207 1.300 1.631
Rh 7.533 3.899 5.009
Rh 7.971 2.629 7.234
Rh 7.971 5.170 7.234
Rh 7.986 1.300 9.581
```

Output
Energy relative to the elements = -1.58 eV per formula unit
Distance to the lowest polymorph of the same formula = 0.000 eV per atom

# 8
Material: Y2Ti2Ir
Method: DFT, GGA-PBE
State: relaxed

extended XYZ file:
```
10
Lattice="6.579 0.000 0.000 0.000 6.579 0.000 0.000 0.000 5.054" Properties=species:S:1:pos:R:3 pbc="T T T"
Y 1.129 2.161 0.000
Y 2.161 5.451 0.000
Y 4.418 1.129 0.000
Y 5.451 4.418 0.000
Ti 0.972 4.262 2.527
Ti 2.317 0.972 2.527
Ti 4.262 5.607 2.527
Ti 5.607 2.317 2.527
Ir 0.000 0.000 2.527
Ir 3.290 3.290 2.527
```

Output
Energy relative to the elements = -1.23 eV per formula unit

| no. | DOS(E_F) (states/eV per atom) |
| --- | --- |
| 1 | 1.442 |
| 2 | 0.836 |
| 3 | 1.190 |
| 4 | 0.299 |
| 5 | 0.481 |
| 6 | 0.131 |
| 7 | 1.490 |
| 8 | 1.674 |